The following is a PBE-GGA calculation of a geometry-optimized Tb2Tm5Pd4 structure, from the Alexandria database.

Properties
Formation energy from the elements = -4.42 eV per formula unit
Magnetic moment = 0.085 μB per formula unit
Calculated total energy = -5.164 eV/atom

Cell lengths 12.4815, 12.4815, 6.7767 Å; angles 104.55, 104.55, 16.61 degrees
Last column: nearest neighbours and their distance in Å.
Atoms (fractional coordinates):
Tb (0.1916, 0.1916, 0.0354)  1 Pd 2.83
Tb (0.8084, 0.8084, 0.9646)  1 Pd 2.83
Tm (0.0000, 0.0000, 0.0000)  6 Pd 2.78-2.94
Tm (0.0720, 0.0720, 0.6322)  5 Pd 2.81-3.00
Tm (0.3117, 0.3117, 0.4694)  2 Pd 2.84
Tm (0.6883, 0.6883, 0.5306)  2 Pd 2.84
Tm (0.9280, 0.9280, 0.3678)  5 Pd 2.81-3.00
Pd (0.1132, 0.1132, 0.2764)  1 Tb 2.83, 4 Tm 2.84-2.94, 2 Pd 2.98
Pd (0.4787, 0.4787, 0.6773)  6 Tm 2.78-3.00, 3 Pd 2.86-2.98
Pd (0.5213, 0.5213, 0.3227)  6 Tm 2.78-3.00, 3 Pd 2.86-2.98
Pd (0.8868, 0.8868, 0.7236)  1 Tb 2.83, 4 Tm 2.84-2.94, 2 Pd 2.98